# 1
Material: NdURu2
Method: DFT, PBE-GGA
State: relaxed

Lattice parameters (Å, degrees): 8.0196 8.0196 4.2303 90.00 90.00 139.23
Fractional coordinates of all 8 atoms:
Nd  0.2176  0.7824  0.7500
Nd  0.7824  0.2176  0.2500
U  0.4096  0.5904  0.2500
U  0.5904  0.4096  0.7500
Ru  0.1655  0.3317  0.7500
Ru  0.3317  0.1655  0.2500
Ru  0.6683  0.8345  0.7500
Ru  0.8345  0.6683  0.2500

Calculated values
Total energy   -8.748 eV per atom

---

# 2
Material: NdURu
Method: DFT, PBE-GGA
State: relaxed

Lattice parameters (Å, degrees): 6.1572 6.1572 6.1572 146.85 146.85 47.59
Fractional coordinates of all 3 atoms:
Nd  0.0000  0.0000  0.0000
U  0.7016  0.7016  0.0000
Ru  0.2924  0.2924  0.0000

Calculated values
Offset from the most stable computed form   0 meV per atom

---

# 3
Material: NdURu
Method: DFT, PBE-GGA
State: relaxed

Lattice parameters (Å, degrees): 4.3566 4.3566 4.7608 90.00 90.00 120.00
Fractional coordinates of all 3 atoms:
Nd  0.0000  0.0000  0.0000
U  0.3333  0.6667  0.5000
Ru  0.6667  0.3333  0.5000

Calculated values
Offset from the most stable computed form   213 meV per atom

---

# 4
Material: NdURu3
Method: DFT, PBE-GGA
State: relaxed

Lattice parameters (Å, degrees): 5.9817 6.2653 6.3053 73.26 84.02 64.62
Fractional coordinates of all 10 atoms:
Nd  0.0000  0.0000  0.0000
Nd  0.4482  0.9621  0.3677
U  0.1086  0.6199  0.5841
U  0.6597  0.6488  0.9365
Ru  0.2316  0.4545  0.9633
Ru  0.4257  0.4558  0.3225
Ru  0.4970  0.0694  0.8156
Ru  0.6599  0.4452  0.6815
Ru  0.8798  0.0383  0.4963
Ru  0.9178  0.4601  0.2795

Calculated values
Offset from the most stable computed form   0 meV per atom

---

# 5
Material: NdURu3
Method: DFT, PBE-GGA
State: relaxed

Lattice parameters (Å, degrees): 6.5989 6.5989 5.5246 90.00 90.00 124.71
Fractional coordinates of all 10 atoms:
Nd  0.0875  0.9125  0.7500
Nd  0.9125  0.0875  0.2500
U  0.3039  0.6961  0.2500
U  0.6961  0.3039  0.7500
Ru  0.1087  0.4353  0.7500
Ru  0.4353  0.1087  0.2500
Ru  0.5000  0.5000  0.0000
Ru  0.5000  0.5000  0.5000
Ru  0.5647  0.8913  0.7500
Ru  0.8913  0.5647  0.2500

Calculated values
Offset from the most stable computed form   40 meV per atom

---

# 6
Material: Nd4URu4
Method: DFT, PBE-GGA
State: relaxed

Lattice parameters (Å, degrees): 8.6667 8.6667 5.9550 90.00 90.00 90.00
Fractional coordinates of all 18 atoms:
Nd  0.0506  0.6784  0.1380
Nd  0.1784  0.9494  0.6380
Nd  0.3216  0.5506  0.6380
Nd  0.4494  0.8216  0.1380
Nd  0.5506  0.1784  0.8620
Nd  0.6784  0.4494  0.3620
Nd  0.8216  0.0506  0.3620
Nd  0.9494  0.3216  0.8620
U  0.2500  0.2500  0.2500
U  0.7500  0.7500  0.7500
Ru  0.0125  0.3649  0.3717
Ru  0.1351  0.0125  0.1283
Ru  0.3649  0.4875  0.1283
Ru  0.4875  0.1351  0.3717
Ru  0.5125  0.8649  0.6283
Ru  0.6351  0.5125  0.8717
Ru  0.8649  0.9875  0.8717
Ru  0.9875  0.6351  0.6283

Calculated values
Total energy   -7.698 eV per atom

---

Which size of the total moment belongs to each record? In order, 0.6; 0.6; 2.3; 0.0; 0.0; 0.0 μB per cell.